The following is a DFT calculation (GGA-PBE) of crystalline RbPBrO2 at its relaxed geometry.

Properties
The calculation puts the total moment at 3.07 μB/f.u. The calculation puts the raw formation energy at 1133 meV/atom. The calculation puts the relative energy among the computed polymorphs at 617.8 meV/atom.

a = 4.426 Å, b = 4.426 Å, c = 8.010 Å
α = 90.00°, β = 90.00°, γ = 90.00°
Space group P4/mmm (No. 123)
Asymmetric unit:
Rb: 0.000 0.000 0.000 [1 per cell]
P: 0.000 0.000 0.500 [1 per cell]
Br: 0.500 0.500 0.500 [1 per cell]
O: 0.000 0.500 0.000 [2 per cell]